YHoSn | GGA-PBE | optimized geometry

As for the offset from the most stable computed form: 0.242 eV/atom.

It has space group P3m1 (No. 156), with a = 5.1051 Å, b = 5.1051 Å, c = 3.8398 Å, α = 90.00°, β = 90.00° and γ = 120.00°. The inequivalent atoms are Y at (0.0000, 0.0000, 0.0000), Ho at (0.3333, 0.6667, 0.5488) and Sn at (0.6667, 0.3333, 0.2891).

CeCu4P2 | GGA-PBE | optimized geometry

As for the offset from the most stable computed form: 0.013 eV/atom.

It has space group P4_2/mnm (No. 136), with a = 7.303 Å, b = 7.303 Å, c = 3.865 Å, α = 90.00°, β = 90.00° and γ = 90.00°. The inequivalent atoms are Ce at (0.000, 0.000, 0.000), Cu at (0.085, 0.339, 0.500) and P at (0.214, 0.786, 0.500).

TlRhBr2 | GGA-PBE | optimized geometry

As for the offset from the most stable computed form: 0.513 eV/atom.

It has space group P4/mmm (No. 123), with a = 5.318 Å, b = 5.318 Å, c = 3.624 Å, α = 90.00°, β = 90.00° and γ = 90.00°. The inequivalent atoms are Tl at (0.000, 0.000, 0.000), Rh at (0.500, 0.500, 0.000) and Br at (0.000, 0.500, 0.500).

CaYTa2 | GGA-PBE | optimized geometry

As for the offset from the most stable computed form: 0.542 eV/atom.

It has space group P4/mmm (No. 123), with a = 3.807 Å, b = 3.807 Å, c = 6.970 Å, α = 90.00°, β = 90.00° and γ = 90.00°. The inequivalent atoms are Ca at (0.000, 0.000, 0.000), Y at (0.000, 0.000, 0.500) and Ta at (0.500, 0.500, 0.307).

Number 1: ρ 7.138 Mg/m³. Number 2: ρ 7.351 Mg/m³. Number 3: ρ 7.566 Mg/m³. Number 4: ρ 8.070 Mg/m³.